A geometry-optimized BiAs2CSe structure. Source: the Alexandria database, functional PBE.

Calculated values
Size of the total moment in μB/cell: 0.00
ΔE_f (raw) in eV/f.u.: 4.67

Cell lengths 4.4377, 4.4377, 4.8560 Å; angles 90.00, 90.00, 90.00 degrees
Sites, in units of the cell vectors:
Bi: 0.0000 0.0000 0.0000
As: 0.0000 0.5000 0.5000
As: 0.5000 0.0000 0.5000
C: 0.5000 0.5000 0.5000
Se: 0.5000 0.5000 0.0000